(1)
The following is a PBE calculation of a geometry-optimized LuPuCuAu structure, from Alexandria.

Cell and atoms, written as POSCAR:
```
LuPuCuAu
1.0
-1.1878 -0.5581 4.8199
3.0278 -2.5602 3.0383
2.6223 2.3961 3.5123
Lu Cu Au Pu
1 1 1 1
direct
0.5000 0.5000 0.5000 Lu
0.2500 0.2500 0.2500 Cu
0.7500 0.7500 0.7500 Au
0.0000 0.0000 0.0000 Pu
```

Values from the calculation:
The formation energy is -0.32 eV/atom. The density of states at the Fermi level is 10.205 states/eV per cell. The calculation puts the total energy at -6.8745 eV/atom. Its symmetry is F-43m (216). As for the total magnetic moment: 1.410 μB per atom.



(2)
The following is a PBE calculation of a geometry-optimized PmPdPt structure, from Alexandria.

Cell and atoms, written as POSCAR:
```
PmPdPt
1.0
-4.6195 -1.9905 -1.4975
0.9753 0.4449 5.1376
-0.1493 5.3654 -1.8435
Pm Pt Pd
2 2 2
direct
0.3045 0.6955 0.0000 Pm
0.0545 0.9455 0.5000 Pm
0.3921 0.6079 0.5000 Pt
0.6421 0.3579 0.0000 Pt
0.7099 0.2901 0.5000 Pd
0.9599 0.0401 0.0000 Pd
```

Values from the calculation:
The formation energy is -0.83 eV/atom. The density of states at the Fermi level is 2.433 states/eV per cell. The calculation puts the total energy at -6.1590 eV/atom. The calculation puts the relative energy among the computed polymorphs at 0.1002 eV per atom. Its symmetry is Fdd2 (43). As for the total magnetic moment: 0.000 μB per atom.